(1)
Below is crystalline NiMoP4 at its relaxed geometry, with properties calculated at the PBE level.

Cell lengths 4.861, 4.861, 4.861 Å; angles 60.00, 60.00, 60.00 degrees
Element x y z (fractional)
Ni: 0.000 0.000 0.000
Mo: 0.250 0.250 0.250
P: 0.126 0.625 0.625
P: 0.625 0.126 0.625
P: 0.625 0.625 0.126
P: 0.625 0.625 0.625

Output
N(E_F) (states/eV per atom): 0.5647
Energy of formation (kJ per mole of atoms): 64
DFT total energy (eV for the cell shown): -34.28
E above lowest polymorph (eV per atom): 0.930



(2)
Below is crystalline Ni2MoP at its relaxed geometry, with properties calculated at the PBE level.

Cell lengths 2.753, 2.753, 6.450 Å; angles 90.00, 90.00, 90.00 degrees
Element x y z (fractional)
Ni: 0.000 0.000 0.202
Ni: 0.000 0.000 0.798
Mo: 0.500 0.500 0.500
P: 0.500 0.500 0.000

Output
N(E_F) (states/eV per atom): 0.7769
Energy of formation (kJ per mole of atoms): -8
DFT total energy (eV for the cell shown): -28.12



(3)
Below is crystalline Ni2MoP at its relaxed geometry, with properties calculated at the PBE level.

Cell lengths 4.636, 4.636, 4.567 Å; angles 113.61, 113.61, 34.30 degrees
Element x y z (fractional)
Ni: 0.000 0.000 0.000
Ni: 0.230 0.230 0.804
Mo: 0.437 0.437 0.457
P: 0.688 0.688 0.372

Output
N(E_F) (states/eV per atom): 0.5801
Energy of formation (kJ per mole of atoms): -17
DFT total energy (eV for the cell shown): -28.51